No. 1
{"formula": "GdYPuSc", "functional": "PBE", "state": "relaxed", "sg": "F-43m", "energy_ev_per_atom": -10.1069, "cell": [[-1.610, 5.108, -1.187], [-4.804, 1.868, 1.878], [-0.108, 3.825, 3.931]], "species": ["Y", "Pu", "Sc", "Gd"], "fractional_positions": [[0.250, 0.250, 0.250], [0.750, 0.750, 0.750], [0.000, 0.000, 0.000], [0.500, 0.500, 0.500]]}



No. 2
{"formula": "Gd2PuSe", "functional": "PBE", "state": "relaxed", "sg": "P4/mmm", "e_form_raw_ev_per_atom": -0.6308, "cell": [[-2.992, 1.897, -0.447], [-1.933, -2.994, 0.230], [-0.588, 1.010, 8.215]], "species": ["Pu", "Gd", "Gd", "Se"], "fractional_positions": [[0.500, 0.500, 0.000], [0.000, 0.000, 0.284], [0.000, 0.000, 0.716], [0.500, 0.500, 0.500]]}



No. 3
{"formula": "Gd2PuSi", "functional": "PBE", "state": "relaxed", "sg": "P4/mmm", "e_form_raw_ev_per_atom": -0.2178, "cell": [[4.488, 0.000, 0.000], [0.000, 4.709, 0.000], [0.000, 0.000, 4.709]], "species": ["Gd", "Si", "Pu", "Gd"], "fractional_positions": [[0.000, 0.000, 0.500], [0.500, 0.000, 0.000], [0.500, 0.500, 0.500], [0.000, 0.500, 0.000]]}



No. 4
{"formula": "GdPuSi", "functional": "PBE", "state": "relaxed", "sg": "P3m1", "e_form_raw_ev_per_atom": -0.1620, "cell": [[-1.485, 2.079, -2.446], [-4.310, -0.905, 1.848], [2.554, 3.706, 1.599]], "species": ["Gd", "Si", "Pu"], "fractional_positions": [[0.699, 0.333, 0.667], [0.007, 0.000, 0.000], [0.295, 0.667, 0.333]]}



No. 5
{"formula": "SmGdPu4", "functional": "PBE", "state": "relaxed", "sg": "F-43m", "energy_ev_per_atom": -12.4576, "cell": [[6.182, 0.000, 0.000], [3.091, 5.354, 0.000], [3.091, 1.785, 5.048]], "species": ["Pu", "Gd", "Pu", "Pu", "Sm", "Pu"], "fractional_positions": [[0.625, 0.625, 0.125], [0.000, 0.000, 0.000], [0.625, 0.625, 0.625], [0.125, 0.625, 0.625], [0.250, 0.250, 0.250], [0.625, 0.125, 0.625]]}



No. 6
{"formula": "SmGdPu", "functional": "PBE", "state": "relaxed", "sg": "I4mm", "energy_ev_per_atom": -10.9157, "cell": [[-0.183, -3.266, 1.325], [3.267, -0.656, -1.166], [1.282, 4.447, 6.434]], "species": ["Sm", "Pu", "Gd"], "fractional_positions": [[0.663, 0.663, 0.325], [0.999, 0.999, 0.999], [0.338, 0.338, 0.676]]}